Arrangement one

PBE CsTlCd, relaxed; DOS(E_F) = 1.4 states/eV/cell; magnetic moment = 0.00 μB per formula unit
1.0
4.1531 0.0000 0.0000
0.0000 4.1531 0.0000
-2.0765 -2.0765 6.9001
Tl Cd Cs
1 1 1
Cartesian
2.0765 2.0765 2.8533 Tl
0.0000 0.0000 4.0615 Cd
2.0765 2.0765 6.8855 Cs

=====

Arrangement two

PBE CsTlCd, relaxed; DOS(E_F) = 2.5 states/eV/cell; magnetic moment = 0.00 μB per formula unit
1.0
4.0020 0.0000 0.0000
0.0000 5.8245 0.0000
0.0000 -2.9122 5.0441
Tl Cs Cd
1 1 1
Cartesian
0.6671 0.0000 0.0000 Tl
2.6686 0.0000 3.3628 Cs
0.6663 2.9122 1.6814 Cd

=====

So which one is most stable? That would be arrangement one, about 32 meV/atom below the next structure.

=====

Arrangement one

PBE CsTlCd, relaxed; DOS(E_F) = 3.1 states/eV/cell; magnetic moment = 0.00 μB per formula unit
1.0
-4.8782 -1.1544 -1.7267
-3.2359 -5.6456 -3.3796
-5.3089 -2.1597 8.3111
Cs Tl Cd
2 2 2
Cartesian
-2.2686 -0.9741 -0.3885 Cs
-4.5235 -5.0058 0.5512 Cs
-6.0421 -4.0532 4.2003 Tl
-8.9037 -5.4136 5.0492 Tl
-8.1018 -3.9253 1.7923 Cd
-7.6605 -6.8905 2.5501 Cd

=====

Arrangement two

PBE CsTlCd, relaxed; DOS(E_F) = 3.3 states/eV/cell; magnetic moment = 0.00 μB per formula unit
1.0
-5.8552 -0.1134 -1.0508
0.8679 -5.2883 -2.5847
-2.2095 -4.4809 5.4327
Cd Tl Cs
2 2 2
Cartesian
-2.9054 -4.4219 2.1842 Cd
-4.7891 -6.5005 0.9404 Cd
-6.0912 -4.3097 2.9169 Tl
-1.9084 -7.5294 1.9625 Tl
-5.2779 -2.9354 -0.6687 Cs
-1.7926 -5.6182 -1.4640 Cs

=====

So which one is most stable? That would be arrangement one, about 55 meV/atom below the next structure.

=====

Arrangement one

PBE CsTlCd3, relaxed; DOS(E_F) = 2.6 states/eV/cell; magnetic moment = 0.00 μB per formula unit
1.0
-3.5637 -3.3815 3.2278
4.6661 -2.8187 2.1988
0.2829 3.8953 4.3931
Cd Tl Cs
3 1 1
Cartesian
2.3331 -1.4093 1.0994 Cd
0.1414 1.9476 2.1966 Cd
-1.7818 -1.6907 1.6139 Cd
0.0000 0.0000 0.0000 Tl
0.6927 -1.1525 4.9098 Cs

=====

Arrangement two

PBE CsTlCd3, relaxed; DOS(E_F) = 5.0 states/eV/cell; magnetic moment = 0.00 μB per formula unit
1.0
-5.2723 -0.8476 -2.6145
-4.1317 -6.4718 3.6157
-6.1423 4.0038 4.2742
Tl Cd Cs
2 6 2
Cartesian
-2.6361 -0.4238 -1.3073 Tl
-5.1370 -1.2340 3.9450 Tl
-9.4541 0.7908 1.8631 Cd
-6.8192 1.2208 3.1708 Cd
-4.2470 1.0492 1.4369 Cd
-6.0921 -4.1063 3.4123 Cd
-11.2992 -4.3647 3.8385 Cd
-8.7270 -4.5363 2.1046 Cd
-9.1561 -1.3718 5.3072 Cs
-6.3901 -1.9437 -0.0319 Cs

=====

So which one is most stable? That would be arrangement two, about 123 meV/atom below the next structure.

=====

Arrangement one

PBE Cs3TlCd, relaxed; DOS(E_F) = 14.4 states/eV/cell; magnetic moment = 0.00 μB per formula unit
1.0
-3.2873 6.6083 2.5237
-7.3278 -6.1626 6.5916
7.3415 -1.4157 13.2702
Cs Tl Cd
12 4 4
Cartesian
-7.4122 -0.4717 13.3256 Cs
-5.3005 0.0401 8.1763 Cs
-0.8541 -1.8901 6.9676 Cs
4.1385 -0.4983 9.0599 Cs
-2.4196 0.9201 15.4178 Cs
-2.9514 -2.6192 11.6269 Cs
2.0268 -1.0101 14.2091 Cs
-0.3223 1.6492 10.7586 Cs
-0.5311 2.2177 3.1917 Cs
-4.6981 3.7744 4.6647 Cs
-2.7425 -3.1877 19.1938 Cs
1.4244 -4.7444 17.7207 Cs
-9.1723 0.1641 9.5247 Tl
-4.4599 -2.6378 15.3601 Tl
5.8987 -1.1341 12.8607 Tl
1.1862 1.6678 7.0254 Tl
-1.4382 -3.0317 15.2994 Cd
-1.8355 2.0617 7.0860 Cd
-4.2344 -4.0817 7.9930 Cd
0.9607 3.1117 14.3924 Cd

=====

Arrangement two

PBE Cs3TlCd, relaxed; DOS(E_F) = 3.1 states/eV/cell; magnetic moment = 0.00 μB per formula unit
1.0
-6.3126 3.7941 1.1556
-2.9677 -3.0776 -6.1074
-2.6311 -5.6314 4.1163
Cs Cd Tl
3 1 1
Cartesian
-3.1563 1.8970 0.5778 Cs
-1.4839 -1.5388 -3.0537 Cs
-1.3156 -2.8157 2.0581 Cs
-5.9558 -2.4575 -0.4178 Cd
0.0000 0.0000 0.0000 Tl

=====

So which one is most stable? That would be arrangement one, about 180 meV/atom below the next structure.

=====

Arrangement one

PBE Cs2TlCd2, relaxed; DOS(E_F) = 8.0 states/eV/cell; magnetic moment = 0.00 μB per formula unit
1.0
-1.1103 11.0007 -1.2982
-1.9979 -1.4822 -10.8510
-3.7395 -0.2915 0.7283
Cs Cd Tl
4 4 2
Cartesian
-0.8281 1.6613 -3.5870 Cs
-1.9548 2.1862 -9.1619 Cs
-2.2801 7.8572 -8.5622 Cs
-1.1534 7.3322 -2.9873 Cs
-3.6801 9.1985 -5.1913 Cd
-3.1676 0.0285 -6.2296 Cd
-2.5103 4.1542 -1.2035 Cd
-4.3374 5.0728 -10.2174 Cd
0.0000 0.0000 0.0000 Tl
-1.5541 4.7592 -6.0746 Tl

=====

Arrangement two

PBE Cs2TlCd2, relaxed; DOS(E_F) = 9.4 states/eV/cell; magnetic moment = 0.00 μB per formula unit
1.0
-5.7506 1.0918 -6.0981
-1.7840 -8.2598 0.2035
-4.3432 1.0436 4.2825
Cd Cs Tl
4 4 2
Cartesian
-3.6795 -6.7817 -2.0789 Cd
-6.1267 -4.2542 -5.1768 Cd
-3.8551 -0.3863 -3.8156 Cd
-1.4079 -2.9137 -0.7178 Cd
-7.5376 -5.5260 -1.8269 Cs
-4.4059 -4.8851 1.1929 Cs
-4.3402 -0.5983 0.2149 Cs
-7.4719 -1.2393 -2.8050 Cs
0.0000 0.0000 0.0000 Tl
-3.7673 -3.5840 -2.9473 Tl

=====

So which one is most stable? That would be arrangement two, about 107 meV/atom below the next structure.

=====

Arrangement one

PBE CsTl9Cd2, relaxed; DOS(E_F) = 14.5 states/eV/cell; magnetic moment = 0.00 μB per formula unit
1.0
-6.8575 -0.0891 5.4163
2.1522 -3.0991 9.7240
-1.6072 8.9198 5.1620
Tl Cd Cs
18 4 2
Cartesian
-4.4944 2.5858 5.6640 Tl
-3.6809 -0.2563 10.1721 Tl
-0.0337 6.1470 11.3703 Tl
-3.3482 5.9785 10.6961 Tl
-5.1750 4.5201 8.3592 Tl
-4.8706 2.8435 11.5052 Tl
0.0000 0.0000 0.0000 Tl
0.8941 3.1810 12.4961 Tl
-4.2919 2.5172 15.0208 Tl
-1.8541 1.2022 12.5090 Tl
-5.2197 5.4832 13.8950 Tl
-1.3040 3.2237 4.7154 Tl
-0.3762 0.2577 5.8412 Tl
-0.8642 -1.4577 8.7201 Tl
-3.5667 -0.3802 6.7898 Tl
0.9626 0.0007 11.0570 Tl
-1.3029 7.2432 8.3080 Tl
-3.1297 5.7848 5.9710 Tl
-4.7880 -0.1724 13.3227 Cd
-6.6677 5.8371 11.0417 Cd
-5.8641 1.3772 8.4607 Cd
-2.1628 4.3321 13.1955 Cd
-1.4419 2.8881 8.7970 Cs
-3.4288 -0.0446 2.7081 Cs

=====

Arrangement two

PBE CsTl9Cd2, relaxed; DOS(E_F) = 6.3 states/eV/cell; magnetic moment = 0.00 μB per formula unit
1.0
-0.4546 -3.1275 2.3069
9.0072 -4.3395 -4.1083
0.5559 6.3554 8.7258
Tl Cd Cs
9 2 1
Cartesian
4.7816 1.0080 2.3088 Tl
3.3952 -2.0170 1.2528 Tl
5.7134 0.9054 5.6716 Tl
1.9772 2.7054 7.3757 Tl
1.7466 0.0692 3.7563 Tl
4.5036 -2.1697 -2.0541 Tl
0.2780 3.1777 4.3629 Tl
7.3620 -1.1808 3.1681 Tl
7.1314 -3.8170 -0.4513 Tl
6.1901 -0.7745 0.1697 Cd
3.3730 2.7904 4.4478 Cd
0.0000 0.0000 0.0000 Cs

=====

So which one is most stable? That would be arrangement one, about 29 meV/atom below the next structure.

=====

Arrangement one

PBE CsTl3Cd, relaxed; DOS(E_F) = 4.0 states/eV/cell; magnetic moment = 0.00 μB per formula unit
1.0
5.9164 0.0000 0.0000
0.0000 5.9164 0.0000
0.0000 0.0000 5.9164
Cd Tl Cs
1 3 1
Cartesian
0.0000 0.0000 0.0000 Cd
2.9582 0.0000 0.0000 Tl
0.0000 2.9582 0.0000 Tl
0.0000 0.0000 2.9582 Tl
2.9582 2.9582 2.9582 Cs

=====

Arrangement two

PBE CsTl3Cd, relaxed; DOS(E_F) = 11.2 states/eV/cell; magnetic moment = 0.00 μB per formula unit
1.0
-1.0775 4.7587 4.6985
-0.2675 -4.7860 4.7859
6.6820 0.5758 0.9493
Tl Cd Cs
3 1 1
Cartesian
-0.5388 2.3793 2.3493 Tl
-0.1338 -2.3930 2.3930 Tl
3.3410 0.2879 0.4746 Tl
2.6685 0.2742 5.2169 Cd
0.0000 0.0000 0.0000 Cs

=====

So which one is most stable? That would be arrangement one, about 712 meV/atom below the next structure.

=====

Arrangement one

PBE CsTl3Cd, relaxed; DOS(E_F) = 2.5 states/eV/cell; magnetic moment = 0.00 μB per formula unit
1.0
-3.8975 -3.6084 0.3266
1.4888 -1.1675 4.9752
-5.2702 2.2230 4.9401
Cs Tl Cd
1 3 1
Cartesian
-6.0099 0.3124 5.6059 Cs
-3.2638 -2.5381 6.9698 Tl
-2.8857 -3.2325 3.8468 Tl
-2.0648 -0.1519 4.3145 Tl
-2.3314 0.4157 7.3747 Cd

=====

Arrangement two

PBE CsTl3Cd, relaxed; DOS(E_F) = 9.3 states/eV/cell; magnetic moment = 0.00 μB per formula unit
1.0
7.3670 0.0000 0.0000
0.0000 8.9814 0.7534
0.0000 -2.3095 11.3415
Cs Tl Cd
4 12 4
Cartesian
4.9946 3.7224 7.8118 Cs
2.3723 2.9495 4.2831 Cs
1.3111 1.7948 9.9538 Cs
6.0558 4.8771 2.1411 Cs
2.4514 6.4519 1.9906 Tl
2.6967 1.1856 0.8189 Tl
0.9868 0.0309 6.4896 Tl
4.6703 5.4862 11.2760 Tl
0.7009 5.5486 11.1043 Tl
6.6660 1.1233 0.9907 Tl
4.9156 0.2200 10.1043 Tl
4.3844 -0.0315 6.6614 Tl
1.2321 5.2972 7.6614 Tl
6.3801 6.6410 5.6053 Tl
6.1348 1.3747 4.4335 Tl
2.9826 6.7033 5.4335 Tl
6.4692 7.2451 8.9857 Cd
4.5812 8.3999 3.3149 Cd
2.7858 -1.7280 8.7800 Cd
0.8977 -0.5733 3.1092 Cd

=====

So which one is most stable? That would be arrangement one, about 15 meV/atom below the next structure.

=====

Arrangement one

PBE CsTl4Cd, relaxed; DOS(E_F) = 5.3 states/eV/cell; magnetic moment = 0.00 μB per formula unit
1.0
-1.5767 5.1800 2.0265
-6.3278 0.0859 -5.1430
-1.5724 -6.9440 8.2837
Tl Cd Cs
8 2 2
Cartesian
-4.6906 -0.4562 5.7635 Tl
-2.7784 -3.4437 6.6446 Tl
-1.1667 0.0158 -0.9483 Tl
-4.7864 -1.2219 -0.5964 Tl
-5.9924 -3.4000 4.0324 Tl
-3.4846 1.7220 1.1347 Tl
-6.6986 1.7656 -1.4775 Tl
-5.1611 0.0701 -4.1948 Tl
-5.1435 -5.5631 6.2355 Cd
-4.3335 3.8850 -1.0683 Cd
-2.2817 -1.7815 2.7776 Cs
-7.1952 0.1034 2.3895 Cs

=====

Arrangement two

PBE CsTl4Cd, relaxed; DOS(E_F) = 2.0 states/eV/cell; magnetic moment = 0.00 μB per formula unit
1.0
6.7113 0.0000 0.0000
3.3556 5.8121 0.0000
3.3556 1.9374 5.4797
Tl Cd Cs
4 1 1
Cartesian
6.7113 1.9182 3.4316 Tl
6.7113 3.8748 0.6647 Tl
5.0169 4.8530 3.4316 Tl
8.4057 4.8530 3.4316 Tl
0.0000 0.0000 0.0000 Cd
3.3556 1.9374 1.3699 Cs

=====

So which one is most stable? That would be arrangement one, about 73 meV/atom below the next structure.

=====

Arrangement one

PBE CsCdW3, relaxed; DOS(E_F) = 11.2 states/eV/cell; magnetic moment = 6.07 μB per formula unit
1.0
5.2107 0.0000 0.0000
0.0000 5.2107 0.0000
0.0000 0.0000 5.2107
W Cd Cs
3 1 1
Cartesian
2.6054 0.0000 0.0000 W
0.0000 2.6054 0.0000 W
0.0000 0.0000 2.6054 W
0.0000 0.0000 0.0000 Cd
2.6054 2.6054 2.6054 Cs

=====

Arrangement two

PBE CsCdW3, relaxed; DOS(E_F) = 7.1 states/eV/cell; magnetic moment = 0.00 μB per formula unit
1.0
4.9454 0.0000 0.0000
0.0000 4.9454 0.0000
0.0000 0.0000 4.9454
Cd W Cs
1 3 1
Cartesian
2.4727 2.4727 2.4727 Cd
0.0000 0.0000 2.4727 W
0.0000 2.4727 0.0000 W
2.4727 0.0000 0.0000 W
0.0000 0.0000 0.0000 Cs

=====

So which one is most stable? That would be arrangement one, about 519 meV/atom below the next structure.

=====

Arrangement one

PBE Cs2ZnCd2, relaxed; DOS(E_F) = 3.9 states/eV/cell; magnetic moment = 0.00 μB per formula unit
1.0
-3.3814 -0.8491 -6.7025
-4.6730 -5.1191 3.0060
-6.7009 0.0248 -0.8806
Cs Cd Zn
2 2 1
Cartesian
-7.0547 -1.9042 -4.7157 Cs
-7.7005 -4.0393 0.1386 Cs
-9.8087 -3.9939 -3.0615 Cd
-4.9465 -1.9496 -1.5155 Cd
0.0000 0.0000 0.0000 Zn

=====

Arrangement two

PBE Cs2ZnCd2, relaxed; DOS(E_F) = 11.6 states/eV/cell; magnetic moment = 0.00 μB per formula unit
1.0
-6.6996 -0.3090 4.6973
4.2183 -4.0210 5.7517
1.5727 5.3629 2.5958
Cd Cs Zn
4 4 2
Cartesian
-3.6839 -0.7375 3.7555 Cd
1.2025 -3.5926 6.6936 Cd
-3.1205 -2.8193 7.7152 Cd
0.6392 -1.5108 2.7339 Cd
-0.5931 1.8570 3.8369 Cs
2.4476 -0.1105 6.0596 Cs
-3.3563 1.1434 6.9853 Cs
-0.3156 -0.8242 9.2080 Cs
-1.2407 -2.1650 5.2245 Zn
0.0000 0.0000 0.0000 Zn

=====

Arrangement three

PBE Cs2ZnCd2, relaxed; DOS(E_F) = 8.1 states/eV/cell; magnetic moment = 0.00 μB per formula unit
1.0
-1.2205 -8.0312 0.1815
3.8819 -4.8083 -4.7775
5.6626 -1.3980 5.4527
Cs Cd Zn
4 4 2
Cartesian
4.8914 -6.6287 2.3234 Cs
2.7635 -3.3674 -0.1711 Cs
5.5605 -10.8701 1.0277 Cs
3.4326 -7.6087 -1.4668 Cs
-0.3440 -5.5280 0.5827 Cd
0.7687 -7.9118 1.9976 Cd
3.6733 -1.5173 3.6366 Cd
4.7861 -3.9012 5.0515 Cd
2.9973 -4.6522 -3.8189 Zn
-0.3359 -8.1873 -0.7772 Zn

=====

So which one is most stable? That would be arrangement three, about 69 meV/atom below the next structure.